First-principles (PBE-GGA) data for an optimized crystal structure of Mn2SiPt5, as listed in Alexandria via LeMat-Bulk.

a b c (Å): 5.5026 10.6716 4.0650
angles (deg): 90.00 90.00 90.00
With the nearest neighbours (Å) after each atom.
Space group Pbam (No. 55)
One atom of each set of equivalent atoms:
Mn (0.1774, 0.1419, 0.0000) (multiplicity 4)  10 Pt 2.67-2.84
Si (0.0000, 0.5000, 0.5000) (multiplicity 2)  8 Pt 2.53-2.75
Pt (0.0000, 0.0000, 0.5000) (multiplicity 2)  4 Mn 2.72, 2 Si 2.75, 6 Pt 2.84-2.87
Pt (0.0657, 0.7359, 0.5000) (multiplicity 4)  1 Si 2.54, 4 Mn 2.67-2.76, 3 Pt 2.77-2.84
Pt (0.1884, 0.3985, 0.0000) (multiplicity 4)  2 Si 2.53, 3 Mn 2.70-2.74

## Properties
The magnetization comes out at 18.92 μB/cell. Its total energy is -115.83 eV per cell.